{"formula": "GdDyGeAu", "functional": "PBE", "state": "relaxed", "final_energy_ev_per_atom": -7.41, "dos_ef_per_ev_cell": 3.70, "delta_e_f_mev_per_atom": -768, "cell": [[5.097, 0.000, 0.000], [2.548, 4.414, 0.000], [2.548, 1.471, 4.162]], "species": ["Ge", "Au", "Dy", "Gd"], "fractional_positions": [[0.500, 0.500, 0.500], [0.000, 0.000, 0.000], [0.750, 0.750, 0.750], [0.250, 0.250, 0.250]]}


{"formula": "ZnGa4Tc2", "functional": "PBE", "state": "relaxed", "final_energy_ev_per_atom": -4.20, "dos_ef_per_ev_cell": 3.93, "delta_e_f_mev_per_atom": 675, "cell": [[-3.084, -2.466, -2.529], [3.517, -1.827, -2.507], [0.670, -6.971, 1.634]], "species": ["Ga", "Ga", "Zn", "Tc", "Tc", "Ga", "Ga"], "fractional_positions": [[0.500, 0.000, 0.000], [0.801, 0.801, 0.397], [0.000, 0.000, 0.000], [0.601, 0.601, 0.798], [0.399, 0.399, 0.202], [0.199, 0.199, 0.603], [0.000, 0.500, 0.000]]}


{"formula": "SiTePS2", "functional": "PBE", "state": "relaxed", "final_energy_ev_per_atom": -3.85, "raw_formation_energy_ev_per_fu": 2.96, "dos_ef_per_ev_cell": 2.24, "de_polymorph_ev_per_atom": 0.1832, "cell": [[4.427, 0.000, 0.000], [0.000, 5.493, 0.000], [0.000, 0.000, 4.427]], "species": ["Si", "P", "S", "S", "Te"], "fractional_positions": [[0.500, 0.500, 0.500], [0.000, 0.000, 0.000], [0.000, 0.000, 0.500], [0.500, 0.000, 0.000], [0.000, 0.500, 0.000]]}